## Ce4Co2Rh (PBE)

Data for an optimized crystal structure of Ce4Co2Rh.

a b c (Å): 6.9334 6.8624 7.7383
angles (deg): 107.85 108.21 107.78
Fractional coordinates of all 14 atoms:
Rh: 0.7407 0.3365 0.5241
Rh: 0.9665 0.0624 0.9759
Co: 0.2409 0.6051 0.1095
Co: 0.5316 0.1039 0.8994
Co: 0.8813 0.7457 0.3904
Co: 0.3823 0.4545 0.6006
Ce: 0.1694 0.7796 0.7806
Ce: 0.7586 0.4623 0.8922
Ce: 0.9991 0.4108 0.2951
Ce: 0.6163 0.8201 0.6078
Ce: 0.2324 0.9744 0.3443
Ce: 0.6381 0.8800 0.1557
Ce: 0.1387 0.2490 0.7194
Ce: 0.4540 0.3657 0.2049

Output
DOS(E_F)   12.77 states/eV/f.u.
Total DFT energy (no corrections)   -6.790 eV per atom